The following is a DFT calculation (meta-GGA SCAN) of a crystal of CuIr relaxed with PBEsol.

Computed properties:
The calculation puts the calculated formation energy at 0.10 eV per formula unit. The space group is P4/nmm, No. 129. The calculation puts the final energy at -43.100 eV/atom.

Unit cell a=2.705 b=2.705 c=7.004 alpha=90.00 beta=90.00 gamma=90.00
Sites, in units of the cell vectors:
Ir  0.500  0.000  0.630
Ir  0.000  0.500  0.370
Cu  0.500  0.000  0.113
Cu  0.000  0.500  0.887